Density functional theory data (GGA-PBE) for an optimized crystal structure of LaAl6Pd2.

The electronic total energy comes out at -84.51 eV for the cell shown. As for the energy above the most stable polymorph in this dataset: 0.0 meV per atom. As for the formation energy: -0.499 eV/atom.

The structure belongs to space group C2/m (No. 12); the cell edges are 9.994, 8.850 and 4.271 Å and the angles 90.00°, 115.15° and 90.00°. Symmetry generates all atoms from La at (0.000, 0.000, 0.000), Al at (0.000, 0.273, 0.500), Al at (0.209, 0.338, 0.209) and Pd at (0.167, 0.500, 0.668).

Density functional theory data (GGA-PBE) for an optimized crystal structure of Li2PbSO.

The electronic total energy comes out at -22.39 eV for the cell shown. The value obtained for the formation energy from raw total energies is -1.154 eV/atom.

The structure belongs to space group P4/mmm (No. 123); the cell edges are 4.119, 4.119 and 5.057 Å and the angles 90.00°, 90.00° and 90.00°. Symmetry generates all atoms from Li at (0.000, 0.500, 0.000), Pb at (0.000, 0.000, 0.500), S at (0.500, 0.500, 0.500) and O at (0.000, 0.000, 0.000).

- Number 2 is which compound?
  Li2PbSO

- Look up the electronic total energy of the first one.
  -84.51 eV for the cell shown

- Look up the electronic total energy of the second one.
  -22.39 eV for the cell shown